A plane-wave DFT calculation with GGA-PBE was carried out for crystalline La3HfTl at its relaxed geometry.

Structure (CIF):
```
data_La3HfTl
_cell_length_a 5.7375
_cell_length_b 5.7375
_cell_length_c 5.7375
_cell_angle_alpha 90.00
_cell_angle_beta 90.00
_cell_angle_gamma 90.00
_symmetry_space_group_name_H-M 'P m -3 m'
_symmetry_Int_Tables_number 221
_symmetry_space_group_name_Hall '-P 4 2 3'
loop_
_atom_site_label
_atom_site_fract_x
_atom_site_fract_y
_atom_site_fract_z
La1 0.0000 0.0000 0.5000
Hf1 0.0000 0.0000 0.0000
Tl1 0.5000 0.5000 0.5000
```

Results
Energy above the lowest structure with this stoichiometry, eV per atom: 0.000
Energy relative to the elements, eV/atom: 0.435



A plane-wave DFT calculation with GGA-PBE was carried out for crystalline ErHgO at its relaxed geometry.

Structure (CIF):
```
data_ErHgO
_cell_length_a 3.8746
_cell_length_b 3.8746
_cell_length_c 7.8269
_cell_angle_alpha 90.00
_cell_angle_beta 90.00
_cell_angle_gamma 90.00
_symmetry_space_group_name_H-M 'P 4/n m m'
_symmetry_Int_Tables_number 129
loop_
_symmetry_equiv_pos_as_xyz
'x,y,z'
'-x,-y,-z'
'-y+1/2,x,z'
'y+1/2,-x,-z'
'-x+1/2,-y+1/2,z'
'x+1/2,y+1/2,-z'
'y,-x+1/2,z'
'-y,x+1/2,-z'
'x+1/2,-y,-z'
'-x+1/2,y,z'
'-y,-x,-z'
'y,x,z'
'-x,y+1/2,-z'
'x,-y+1/2,z'
'y+1/2,x+1/2,-z'
'-y+1/2,-x+1/2,z'
loop_
_atom_site_label
_atom_site_fract_x
_atom_site_fract_y
_atom_site_fract_z
Er1 0.2500 0.2500 0.1370
Hg1 0.2500 0.2500 0.5982
O1 0.2500 0.7500 0.0000
```

Results
Energy above the lowest structure with this stoichiometry, eV per atom: 0.000
Formation energy without anion corrections, kJ/mol of atoms: -210



A plane-wave DFT calculation with GGA-PBE was carried out for crystalline LaTbCePb at its relaxed geometry.

Structure (CIF):
```
data_LaTbCePb
_cell_length_a 7.8610
_cell_length_b 7.8610
_cell_length_c 7.8610
_cell_angle_alpha 90.00
_cell_angle_beta 90.00
_cell_angle_gamma 90.00
_symmetry_space_group_name_H-M 'F -4 3 m'
_symmetry_Int_Tables_number 216
_symmetry_space_group_name_Hall 'F -4 2 3'
loop_
_atom_site_label
_atom_site_fract_x
_atom_site_fract_y
_atom_site_fract_z
La1 0.0000 0.0000 0.0000
Tb1 0.0000 0.0000 0.5000
Ce1 0.2500 0.2500 0.2500
Pb1 0.2500 0.2500 0.7500
```

Results
Energy relative to the elements, eV/atom: -0.089